No. 1
The following is a DFT calculation (GGA-PBE) of an optimized crystal structure of Ti2BeTc2.

Calculated values
As for the space group: P4/mbm, No. 127.

Cell lengths 6.123, 6.123, 3.970 Å; angles 90.00, 90.00, 90.00 degrees
Sites, in units of the cell vectors:
1 Ti 0.172 0.328 0.000
2 Ti 0.328 0.828 0.000
3 Ti 0.672 0.172 0.000
4 Ti 0.828 0.672 0.000
5 Be 0.000 0.000 0.500
6 Be 0.500 0.500 0.500
7 Tc 0.154 0.654 0.500
8 Tc 0.346 0.154 0.500
9 Tc 0.654 0.846 0.500
10 Tc 0.846 0.346 0.500


No. 2
The following is a DFT calculation (GGA-PBE) of an optimized crystal structure of TiBe17Tc.

Calculated values
As for the space group: R3m, No. 160.

Cell lengths 5.502, 5.502, 5.502 Å; angles 82.96, 82.96, 82.96 degrees
Sites, in units of the cell vectors:
1 Ti 0.000 0.000 0.000
2 Be 0.011 0.011 0.495
3 Be 0.011 0.495 0.011
4 Be 0.157 0.664 0.664
5 Be 0.314 0.314 0.816
6 Be 0.314 0.816 0.314
7 Be 0.363 0.658 0.962
8 Be 0.363 0.962 0.658
9 Be 0.495 0.011 0.011
10 Be 0.559 0.559 0.559
11 Be 0.658 0.363 0.962
12 Be 0.658 0.962 0.363
13 Be 0.664 0.157 0.664
14 Be 0.664 0.664 0.157
15 Be 0.758 0.758 0.758
16 Be 0.816 0.314 0.314
17 Be 0.962 0.363 0.658
18 Be 0.962 0.658 0.363
19 Tc 0.323 0.323 0.323


No. 3
The following is a DFT calculation (GGA-PBE) of an optimized crystal structure of TiBe8Tc3.

Calculated values
As for the space group: P3m1, No. 156.

Cell lengths 4.386, 4.386, 7.200 Å; angles 90.00, 90.00, 120.00 degrees
Sites, in units of the cell vectors:
1 Ti 0.000 0.000 0.000
2 Be 0.165 0.330 0.683
3 Be 0.165 0.835 0.683
4 Be 0.333 0.667 0.435
5 Be 0.333 0.667 0.935
6 Be 0.503 0.007 0.188
7 Be 0.503 0.497 0.188
8 Be 0.670 0.835 0.683
9 Be 0.993 0.497 0.188
10 Tc 0.000 0.000 0.374
11 Tc 0.667 0.333 0.498
12 Tc 0.667 0.333 0.868


Values of VASP energy, in order: -81.3 -85.0 -74.0, all in eV for the cell shown.
Values of calculated formation energy, in order: -0.085 -0.181 -0.430, all in eV/atom.
Values of total magnetization, in order: 0.000 0.000 0.000, all in μB/atom.